The following is a PBE-GGA calculation of an optimized crystal structure of Tm2MnPt9, from Alexandria via LeMat-Bulk.

```
data_Tm2MnPt9
_cell_length_a 4.0469
_cell_length_b 4.0469
_cell_length_c 12.0798
_cell_angle_alpha 90.00
_cell_angle_beta 90.00
_cell_angle_gamma 90.00
_symmetry_space_group_name_H-M 'P 4/m m m'
_symmetry_Int_Tables_number 123
_symmetry_space_group_name_Hall '-P 4 2'
loop_
_atom_site_label
_atom_site_type_symbol
_atom_site_fract_x
_atom_site_fract_y
_atom_site_fract_z
Tm1 Tm 0.0000 0.0000 0.1707
Mn1 Mn 0.0000 0.0000 0.5000
Pt1 Pt 0.0000 0.5000 0.0000
Pt2 Pt 0.0000 0.5000 0.3433
Pt3 Pt 0.5000 0.5000 0.1715
Pt4 Pt 0.5000 0.5000 0.5000
```

Uncorrected energy = -82.41 eV for the cell shown
Calculated density = 18.0 Mg/m³
Volume = 197.8 Å³/f.u.
Total moment = 0.35 μB per atom
Formation energy = -0.83 eV per atom